Version P
Entry from the Alexandria database: a geometry-optimized SrAuSe3 structure (PBE).

Calculated values
Size of the total moment (μB/f.u.): 3.069

Structure (CIF):
```
data_SrAuSe3
_chemical_formula_sum 'Sr1 Au1 Se3'
_space_group_name_H-M_alt 'P m -3 m'
_space_group_IT_number 221
_space_group_name_Hall '-P 4 2 3'
_cell_length_a 5.8544
_cell_length_b 5.8544
_cell_length_c 5.8544
_cell_angle_alpha 90.00
_cell_angle_beta 90.00
_cell_angle_gamma 90.00
loop_
_atom_site_label
_atom_site_type_symbol
_atom_site_fract_x
_atom_site_fract_y
_atom_site_fract_z
Sr1 Sr 0.0000 0.0000 0.0000
Au1 Au 0.5000 0.5000 0.5000
Se1 Se 0.0000 0.0000 0.5000
```



Version Q
Entry from the Alexandria database: a geometry-optimized SrAuSe3 structure (PBE).

Calculated values
Size of the total moment (μB/f.u.): 0.000

Structure (CIF):
```
data_SrAuSe3
_chemical_formula_sum 'Sr1 Au1 Se3'
_space_group_name_H-M_alt 'P m -3 m'
_space_group_IT_number 221
_space_group_name_Hall '-P 4 2 3'
_cell_length_a 5.1644
_cell_length_b 5.1644
_cell_length_c 5.1644
_cell_angle_alpha 90.00
_cell_angle_beta 90.00
_cell_angle_gamma 90.00
loop_
_atom_site_label
_atom_site_type_symbol
_atom_site_fract_x
_atom_site_fract_y
_atom_site_fract_z
Sr1 Sr 0.0000 0.0000 0.0000
Au1 Au 0.5000 0.5000 0.5000
Se1 Se 0.0000 0.5000 0.5000
```



Structures ranked by computed energy, the most stable listed first: version Q, version P.



Version P
Entry from the Alexandria database: a geometry-optimized TaAu3Se structure (PBE).

Calculated values
Size of the total moment (μB/f.u.): 2.101

Structure (CIF):
```
data_TaAu3Se
_chemical_formula_sum 'Ta1 Au3 Se1'
_space_group_name_H-M_alt 'P m -3 m'
_space_group_IT_number 221
_space_group_name_Hall '-P 4 2 3'
_cell_length_a 4.8844
_cell_length_b 4.8844
_cell_length_c 4.8844
_cell_angle_alpha 90.00
_cell_angle_beta 90.00
_cell_angle_gamma 90.00
loop_
_atom_site_label
_atom_site_type_symbol
_atom_site_fract_x
_atom_site_fract_y
_atom_site_fract_z
Ta1 Ta 0.0000 0.0000 0.0000
Au1 Au 0.0000 0.5000 0.5000
Se1 Se 0.5000 0.5000 0.5000
```



Version Q
Entry from the Alexandria database: a geometry-optimized TaAu3Se structure (PBE).

Calculated values
Size of the total moment (μB/f.u.): 0.000

Structure (CIF):
```
data_TaAu3Se
_chemical_formula_sum 'Ta1 Au3 Se1'
_space_group_name_H-M_alt 'P m -3 m'
_space_group_IT_number 221
_space_group_name_Hall '-P 4 2 3'
_cell_length_a 5.1296
_cell_length_b 5.1296
_cell_length_c 5.1296
_cell_angle_alpha 90.00
_cell_angle_beta 90.00
_cell_angle_gamma 90.00
loop_
_atom_site_label
_atom_site_type_symbol
_atom_site_fract_x
_atom_site_fract_y
_atom_site_fract_z
Ta1 Ta 0.0000 0.0000 0.0000
Au1 Au 0.0000 0.0000 0.5000
Se1 Se 0.5000 0.5000 0.5000
```



Structures ranked by computed energy, the most stable listed first: version Q, version P.



Version P
Entry from the Alexandria database: a geometry-optimized TaAuSe structure (PBE).

Calculated values
Size of the total moment (μB/f.u.): 0.000

Structure (CIF):
```
data_TaAuSe
_chemical_formula_sum 'Ta2 Au2 Se2'
_space_group_name_H-M_alt 'I 4 m m'
_space_group_IT_number 107
_space_group_name_Hall 'I 4 -2'
_cell_length_a 3.1132
_cell_length_b 3.1132
_cell_length_c 12.7999
_cell_angle_alpha 90.00
_cell_angle_beta 90.00
_cell_angle_gamma 90.00
loop_
_atom_site_label
_atom_site_type_symbol
_atom_site_fract_x
_atom_site_fract_y
_atom_site_fract_z
Ta1 Ta 0.0000 0.0000 0.0000
Au1 Au 0.0000 0.0000 0.3536
Se1 Se 0.0000 0.0000 0.6179
```



Version Q
Entry from the Alexandria database: a geometry-optimized TaAuSe structure (PBE).

Calculated values
Size of the total moment (μB/f.u.): 0.000

Structure (CIF):
```
data_TaAuSe
_chemical_formula_sum 'Ta4 Au4 Se4'
_space_group_name_H-M_alt 'F -4 3 m'
_space_group_IT_number 216
_space_group_name_Hall 'F -4 2 3'
_cell_length_a 6.2069
_cell_length_b 6.2069
_cell_length_c 6.2069
_cell_angle_alpha 90.00
_cell_angle_beta 90.00
_cell_angle_gamma 90.00
loop_
_atom_site_label
_atom_site_type_symbol
_atom_site_fract_x
_atom_site_fract_y
_atom_site_fract_z
Ta1 Ta 0.0000 0.0000 0.0000
Au1 Au 0.0000 0.0000 0.5000
Se1 Se 0.2500 0.2500 0.7500
```



Structures ranked by computed energy, the most stable listed first: version P, version Q.



Version P
Entry from the Alexandria database: a geometry-optimized TaAuSe structure (PBE).

Calculated values
Size of the total moment (μB/f.u.): 0.368

Structure (CIF):
```
data_TaAuSe
_chemical_formula_sum 'Ta4 Au4 Se4'
_space_group_name_H-M_alt 'F -4 3 m'
_space_group_IT_number 216
_space_group_name_Hall 'F -4 2 3'
_cell_length_a 6.3316
_cell_length_b 6.3316
_cell_length_c 6.3316
_cell_angle_alpha 90.00
_cell_angle_beta 90.00
_cell_angle_gamma 90.00
loop_
_atom_site_label
_atom_site_type_symbol
_atom_site_fract_x
_atom_site_fract_y
_atom_site_fract_z
Ta1 Ta 0.0000 0.0000 0.0000
Au1 Au 0.2500 0.2500 0.2500
Se1 Se 0.2500 0.2500 0.7500
```



Version Q
Entry from the Alexandria database: a geometry-optimized TaAuSe structure (PBE).

Calculated values
Size of the total moment (μB/f.u.): 0.000

Structure (CIF):
```
data_TaAuSe
_chemical_formula_sum 'Ta1 Au1 Se1'
_space_group_name_H-M_alt 'P -6 m 2'
_space_group_IT_number 187
_space_group_name_Hall 'P -6 2'
_cell_length_a 4.3968
_cell_length_b 4.3968
_cell_length_c 3.4010
_cell_angle_alpha 90.00
_cell_angle_beta 90.00
_cell_angle_gamma 120.00
loop_
_atom_site_label
_atom_site_type_symbol
_atom_site_fract_x
_atom_site_fract_y
_atom_site_fract_z
Ta1 Ta 0.0000 0.0000 0.0000
Au1 Au 0.6667 0.3333 0.5000
Se1 Se 0.3333 0.6667 0.0000
```



Version R
Entry from the Alexandria database: a geometry-optimized TaAuSe structure (PBE).

Calculated values
Size of the total moment (μB/f.u.): 0.000

Structure (CIF):
```
data_TaAuSe
_chemical_formula_sum 'Ta2 Au2 Se2'
_space_group_name_H-M_alt 'P 1 21/m 1'
_space_group_IT_number 11
_cell_length_a 5.9700
_cell_length_b 3.2970
_cell_length_c 6.8456
_cell_angle_alpha 90.00
_cell_angle_beta 108.69
_cell_angle_gamma 90.00
loop_
_space_group_symop_operation_xyz
'x,y,z'
'-x,-y,-z'
'-x,y+1/2,-z'
'x,-y+1/2,z'
loop_
_atom_site_label
_atom_site_type_symbol
_atom_site_fract_x
_atom_site_fract_y
_atom_site_fract_z
Ta1 Ta 0.2047 0.2500 0.0038
Au1 Au 0.3303 0.7500 0.7249
Se1 Se 0.1925 0.7500 0.2954
```



Version S
Entry from the Alexandria database: a geometry-optimized TaAuSe structure (PBE).

Calculated values
Size of the total moment (μB/f.u.): 0.000

Structure (CIF):
```
data_TaAuSe
_chemical_formula_sum 'Ta1 Au1 Se1'
_space_group_name_H-M_alt 'P 3 m 1'
_space_group_IT_number 156
_cell_length_a 3.2306
_cell_length_b 3.2306
_cell_length_c 6.7311
_cell_angle_alpha 90.00
_cell_angle_beta 90.00
_cell_angle_gamma 120.00
loop_
_space_group_symop_operation_xyz
'x,y,z'
'-y,x-y,z'
'-x+y,-x,z'
'-y,-x,z'
'-x+y,y,z'
'x,x-y,z'
loop_
_atom_site_label
_atom_site_type_symbol
_atom_site_fract_x
_atom_site_fract_y
_atom_site_fract_z
Ta1 Ta 0.0000 0.0000 0.0000
Au1 Au 0.6667 0.3333 0.3180
Se1 Se 0.3333 0.6667 0.7363
```



Structures ranked by computed energy, the most stable listed first: version R, version S, version Q, version P.



Version P
Entry from the Alexandria database: a geometry-optimized Tb2AuSe structure (PBE).

Calculated values
Size of the total moment (μB/f.u.): 0.000

Structure (CIF):
```
data_Tb2AuSe
_chemical_formula_sum 'Tb6 Au3 Se3'
_space_group_name_H-M_alt 'R 3 m'
_space_group_IT_number 160
_space_group_name_Hall 'R 3 -2"'
_cell_length_a 3.9674
_cell_length_b 3.9674
_cell_length_c 22.7896
_cell_angle_alpha 90.00
_cell_angle_beta 90.00
_cell_angle_gamma 120.00
loop_
_atom_site_label
_atom_site_type_symbol
_atom_site_fract_x
_atom_site_fract_y
_atom_site_fract_z
Tb1 Tb 0.0000 0.0000 0.0000
Tb2 Tb 0.0000 0.0000 0.1707
Au1 Au 0.0000 0.0000 0.5865
Se1 Se 0.0000 0.0000 0.4170
```



Version Q
Entry from the Alexandria database: a geometry-optimized Tb2AuSe structure (PBE).

Calculated values
Size of the total moment (μB/f.u.): 0.000

Structure (CIF):
```
data_Tb2AuSe
_chemical_formula_sum 'Tb6 Au3 Se3'
_space_group_name_H-M_alt 'R -3 m'
_space_group_IT_number 166
_space_group_name_Hall '-R 3 2"'
_cell_length_a 4.0236
_cell_length_b 4.0236
_cell_length_c 21.8977
_cell_angle_alpha 90.00
_cell_angle_beta 90.00
_cell_angle_gamma 120.00
loop_
_atom_site_label
_atom_site_type_symbol
_atom_site_fract_x
_atom_site_fract_y
_atom_site_fract_z
Tb1 Tb 0.0000 0.0000 0.2504
Au1 Au 0.0000 0.0000 0.5000
Se1 Se 0.0000 0.0000 0.0000
```



Version R
Entry from the Alexandria database: a geometry-optimized Tb2AuSe structure (PBE).

Calculated values
Size of the total moment (μB/f.u.): 0.000

Structure (CIF):
```
data_Tb2AuSe
_chemical_formula_sum 'Tb8 Au4 Se4'
_space_group_name_H-M_alt 'C m c m'
_space_group_IT_number 63
_space_group_name_Hall '-C 2c 2'
_cell_length_a 3.9900
_cell_length_b 23.0435
_cell_length_c 4.2854
_cell_angle_alpha 90.00
_cell_angle_beta 90.00
_cell_angle_gamma 90.00
loop_
_atom_site_label
_atom_site_type_symbol
_atom_site_fract_x
_atom_site_fract_y
_atom_site_fract_z
Tb1 Tb 0.0000 0.0668 0.2500
Tb2 Tb 0.0000 0.3182 0.2500
Au1 Au 0.0000 0.4543 0.2500
Se1 Se 0.0000 0.1926 0.2500
```



Structures ranked by computed energy, the most stable listed first: version R, version Q, version P.